# 1
This record from Alexandria describes a crystal of Ba2SrCu relaxed with PBEsol. The functional is SCAN.

Unit cell a=4.4694 b=4.4694 c=32.6157 alpha=90.00 beta=90.00 gamma=120.00
Space group R-3m (No. 166, hexagonal axes)
Unique sites:
Ba 0.0000 0.0000 0.2218 x6
Sr 0.0000 0.0000 0.0000 x3
Cu 0.0000 0.0000 0.5000 x3

Results
total moment = 1.22 Bohr magnetons per cell
formation energy from the elements = 0.079 eV per atom
relative energy among the computed polymorphs = 0.025 eV per atom

***

# 2
This record from Alexandria describes a crystal of HfScHg2Rh relaxed with PBEsol. The functional is SCAN.

Unit cell a=5.084 b=5.084 c=4.505 alpha=90.00 beta=90.00 gamma=90.00
Space group P4/mmm (No. 123)
Unique sites:
Hf 0.000 0.000 0.000 x1
Sc 0.500 0.500 0.000 x1
Hg 0.000 0.500 0.500 x2
Rh 0.500 0.500 0.500 x1

Results
total moment = 1.09 Bohr magnetons per cell
formation energy from the elements = 0.366 eV per atom

***

# 3
This record from Alexandria describes a crystal of AsOsSe2O relaxed with PBEsol. The functional is SCAN.

Unit cell a=4.307 b=4.307 c=4.144 alpha=90.00 beta=90.00 gamma=90.00
Space group P4/mmm (No. 123)
Unique sites:
As 0.000 0.000 0.000 x1
Os 0.500 0.500 0.000 x1
Se 0.000 0.500 0.500 x2
O 0.000 0.000 0.500 x1

Results
total moment = 0.00 Bohr magnetons per cell
relative energy among the computed polymorphs = 0.000 eV per atom

***

# 4
This record from Alexandria describes a crystal of Ba2ScBr relaxed with PBEsol. The functional is SCAN.

Unit cell a=4.080 b=6.438 c=11.155 alpha=90.00 beta=90.00 gamma=90.00
Space group Cmm2 (No. 35)
Unique sites:
Ba 0.000 0.000 0.000 x2
Ba 0.000 0.500 0.336 x2
Sc 0.000 0.000 0.592 x2
Br 0.000 0.500 0.766 x2

Results
total moment = 0.53 Bohr magnetons per cell
relative energy among the computed polymorphs = 0.211 eV per atom